# 1
Here is a geometry-optimized LiMgSc structure from the Alexandria database. Energies are from PBE-GGA.

```
LiMgSc
1.0
5.035 0.000 0.000
-2.518 4.361 0.000
0.000 0.000 3.019
Li Mg Sc
1 1 1
direct
0.000 0.000 0.000 Li
0.667 0.333 0.051 Mg
0.333 0.667 0.535 Sc
```

Calculated values
distance to the lowest polymorph of the same formula = 0.103 eV per atom
magnetization = 0.000 μB per atom
DFT formation energy = 0.073 eV per atom

# 2
Here is a geometry-optimized Li2Mg7Sc3 structure from the Alexandria database. Energies are from PBE-GGA.

```
Li2Mg7Sc3
1.0
5.276 0.000 0.000
0.000 4.955 0.000
-0.042 0.000 10.728
Li Mg Sc
2 7 3
direct
0.077 0.000 0.282 Li
0.923 0.000 0.718 Li
0.051 0.500 0.824 Mg
0.262 0.000 0.545 Mg
0.467 0.000 0.831 Mg
0.500 0.500 0.000 Mg
0.533 0.000 0.169 Mg
0.738 0.000 0.455 Mg
0.949 0.500 0.176 Mg
0.000 0.000 0.000 Sc
0.421 0.500 0.354 Sc
0.579 0.500 0.646 Sc
```

Calculated values
magnetization = 0.030 μB per atom
DFT formation energy = 0.154 eV per atom

# 3
Here is a geometry-optimized LiMg12Sc2 structure from the Alexandria database. Energies are from PBE-GGA.

```
LiMg12Sc2
1.0
5.823 0.000 0.000
0.000 5.823 0.000
0.000 0.000 22.111
Li Mg Sc
2 24 4
direct
0.250 0.750 0.000 Li
0.750 0.250 0.000 Li
0.063 0.563 0.117 Mg
0.063 0.937 0.883 Mg
0.074 0.574 0.562 Mg
0.074 0.926 0.438 Mg
0.250 0.250 0.214 Mg
0.250 0.250 0.342 Mg
0.250 0.250 0.658 Mg
0.250 0.250 0.786 Mg
0.426 0.574 0.438 Mg
0.426 0.926 0.562 Mg
0.437 0.563 0.883 Mg
0.437 0.937 0.117 Mg
0.563 0.063 0.883 Mg
0.563 0.437 0.117 Mg
0.574 0.074 0.438 Mg
0.574 0.426 0.562 Mg
0.750 0.750 0.214 Mg
0.750 0.750 0.342 Mg
0.750 0.750 0.658 Mg
0.750 0.750 0.786 Mg
0.926 0.074 0.562 Mg
0.926 0.426 0.438 Mg
0.937 0.063 0.117 Mg
0.937 0.437 0.883 Mg
0.250 0.750 0.278 Sc
0.250 0.750 0.722 Sc
0.750 0.250 0.278 Sc
0.750 0.250 0.722 Sc
```

Calculated values
magnetization = 0.000 μB per atom
DFT formation energy = 0.167 eV per atom

# 4
Here is a geometry-optimized LiMg3Sc structure from the Alexandria database. Energies are from PBE-GGA.

```
LiMg3Sc
1.0
3.056 0.000 0.000
0.000 6.158 0.000
0.000 0.000 12.325
Li Mg Sc
2 6 2
direct
0.250 0.250 0.017 Li
0.750 0.750 0.983 Li
0.250 0.006 0.804 Mg
0.250 0.250 0.375 Mg
0.250 0.494 0.804 Mg
0.750 0.506 0.196 Mg
0.750 0.750 0.625 Mg
0.750 0.994 0.196 Mg
0.250 0.750 0.403 Sc
0.750 0.250 0.597 Sc
```

Calculated values
distance to the lowest polymorph of the same formula = 0.102 eV per atom
magnetization = 0.095 μB per atom
DFT formation energy = 0.083 eV per atom

# 5
Here is a geometry-optimized LiMg2Sc structure from the Alexandria database. Energies are from PBE-GGA.

```
LiMg2Sc
1.0
5.186 -1.583 0.000
5.186 1.583 0.000
-0.921 0.000 5.465
Li Mg Sc
1 2 1
direct
0.000 0.000 0.000 Li
0.253 0.253 0.758 Mg
0.747 0.747 0.242 Mg
0.500 0.500 0.500 Sc
```

Calculated values
distance to the lowest polymorph of the same formula = 0.101 eV per atom
magnetization = 0.000 μB per atom
DFT formation energy = 0.066 eV per atom

# 6
Here is a geometry-optimized LiMg7Sc4 structure from the Alexandria database. Energies are from PBE-GGA.

```
LiMg7Sc4
1.0
5.254 0.000 0.000
0.004 6.265 0.000
0.054 3.078 8.534
Li Mg Sc
1 7 4
direct
0.000 0.000 0.000 Li
0.250 0.462 0.082 Mg
0.252 0.814 0.370 Mg
0.254 0.289 0.421 Mg
0.500 0.000 0.000 Mg
0.746 0.711 0.579 Mg
0.748 0.186 0.630 Mg
0.750 0.538 0.918 Mg
0.247 0.395 0.731 Sc
0.247 0.874 0.730 Sc
0.753 0.126 0.270 Sc
0.753 0.605 0.269 Sc
```

Calculated values
magnetization = 0.000 μB per atom
DFT formation energy = 0.056 eV per atom

Question: Number 1 is which compound?
Answer: LiMgSc